Entry 1:
Here is an optimized crystal structure of Tm2Al6Rh from Alexandria. Energies are from GGA-PBE.

Properties
N(E_F) = 6.61 states/eV per cell
Formation energy from the elements = -544 meV/atom

```
data_Tm2Al6Rh
_chemical_formula_sum 'Tm2 Al6 Rh1'
_space_group_name_H-M_alt 'P -3 m 1'
_space_group_IT_number 164
_space_group_name_Hall '-P 3 2"'
_cell_length_a 5.7199
_cell_length_b 5.7199
_cell_length_c 5.9076
_cell_angle_alpha 90.00
_cell_angle_beta 90.00
_cell_angle_gamma 120.00
loop_
_atom_site_label
_atom_site_fract_x
_atom_site_fract_y
_atom_site_fract_z
Tm1 0.3333 0.6667 0.1306
Al1 0.1718 0.3436 0.6820
Rh1 0.0000 0.0000 0.0000
```


Entry 2:
Here is an optimized crystal structure of Tm2AlRh from Alexandria. Energies are from GGA-PBE.

Properties
N(E_F) = 10.71 states/eV per cell
Formation energy from the elements = 23 meV/atom

```
data_Tm2AlRh
_chemical_formula_sum 'Tm6 Al3 Rh3'
_space_group_name_H-M_alt 'R -3 m'
_space_group_IT_number 166
_space_group_name_Hall '-R 3 2"'
_cell_length_a 3.2567
_cell_length_b 3.2567
_cell_length_c 29.4221
_cell_angle_alpha 90.00
_cell_angle_beta 90.00
_cell_angle_gamma 120.00
loop_
_atom_site_label
_atom_site_fract_x
_atom_site_fract_y
_atom_site_fract_z
Tm1 0.0000 0.0000 0.0856
Al1 0.0000 0.0000 0.5000
Rh1 0.0000 0.0000 0.0000
```


Entry 3:
Here is an optimized crystal structure of Tm3Al3Rh2 from Alexandria. Energies are from GGA-PBE.

Properties
N(E_F) = 22.26 states/eV per cell
Formation energy from the elements = -757 meV/atom

```
data_Tm3Al3Rh2
_chemical_formula_sum 'Tm12 Al12 Rh8'
_space_group_name_H-M_alt 'P n m a'
_space_group_IT_number 62
_space_group_name_Hall '-P 2ac 2n'
_cell_length_a 7.636
_cell_length_b 15.242
_cell_length_c 5.606
_cell_angle_alpha 90.00
_cell_angle_beta 90.00
_cell_angle_gamma 90.00
loop_
_atom_site_label
_atom_site_fract_x
_atom_site_fract_y
_atom_site_fract_z
Tm1 0.034 0.110 0.104
Tm2 0.169 0.250 0.627
Al1 0.169 0.034 0.594
Al2 0.173 0.750 0.623
Rh1 0.122 0.610 0.369
```


Entry 4:
Here is an optimized crystal structure of TmAl11Rh from Alexandria. Energies are from GGA-PBE.

Properties
N(E_F) = 9.55 states/eV per cell
Formation energy from the elements = -270 meV/atom

```
data_TmAl11Rh
_chemical_formula_sum 'Tm2 Al22 Rh2'
_space_group_name_H-M_alt 'C 1 2/m 1'
_space_group_IT_number 12
_space_group_name_Hall '-C 2y'
_cell_length_a 5.161
_cell_length_b 12.651
_cell_length_c 7.146
_cell_angle_alpha 90.00
_cell_angle_beta 108.72
_cell_angle_gamma 90.00
loop_
_atom_site_label
_atom_site_fract_x
_atom_site_fract_y
_atom_site_fract_z
Tm1 0.000 0.000 0.000
Al1 0.000 0.000 0.500
Al2 0.108 0.392 0.223
Al3 0.180 0.175 0.357
Al4 0.250 0.250 0.000
Rh1 0.000 0.500 0.500
```


Entry 5:
Here is an optimized crystal structure of Tm4AlRh2 from Alexandria. Energies are from GGA-PBE.

Properties
N(E_F) = 7.40 states/eV per cell
Formation energy from the elements = -642 meV/atom

```
data_Tm4AlRh2
_chemical_formula_sum 'Tm8 Al2 Rh4'
_space_group_name_H-M_alt 'P 1'
_space_group_IT_number 1
_space_group_name_Hall 'P 1'
_cell_length_a 6.966
_cell_length_b 6.976
_cell_length_c 7.550
_cell_angle_alpha 105.04
_cell_angle_beta 107.13
_cell_angle_gamma 103.95
loop_
_atom_site_label
_atom_site_fract_x
_atom_site_fract_y
_atom_site_fract_z
Tm1 0.000 0.000 0.000
Tm2 0.014 0.167 0.572
Tm3 0.135 0.541 0.019
Tm4 0.179 0.747 0.657
Tm5 0.382 0.410 0.398
Tm6 0.564 0.046 0.166
Tm7 0.613 0.201 0.767
Tm8 0.742 0.631 0.240
Al1 0.274 0.924 0.370
Al2 0.577 0.660 0.833
Rh1 0.351 0.268 0.961
Rh2 0.624 0.835 0.539
Rh3 0.820 0.513 0.663
Rh4 0.958 0.359 0.277
```


Entry 6:
Here is an optimized crystal structure of Tm8AlRh2 from Alexandria. Energies are from GGA-PBE.

Properties
N(E_F) = 22.60 states/eV per cell
Formation energy from the elements = -375 meV/atom

```
data_Tm8AlRh2
_chemical_formula_sum 'Tm16 Al2 Rh4'
_space_group_name_H-M_alt 'C 1 2/m 1'
_space_group_IT_number 12
_space_group_name_Hall '-C 2y'
_cell_length_a 8.572
_cell_length_b 13.009
_cell_length_c 5.335
_cell_angle_alpha 90.00
_cell_angle_beta 104.71
_cell_angle_gamma 90.00
loop_
_atom_site_label
_atom_site_fract_x
_atom_site_fract_y
_atom_site_fract_z
Tm1 0.000 0.242 0.000
Tm2 0.119 0.500 0.809
Tm3 0.200 0.128 0.579
Al1 0.000 0.000 0.000
Rh1 0.000 0.309 0.500
```


Entry 7:
Here is an optimized crystal structure of Tm2Al3Rh from Alexandria. Energies are from GGA-PBE.

Properties
N(E_F) = 10.93 states/eV per cell
Formation energy from the elements = -717 meV/atom

```
data_Tm2Al3Rh
_chemical_formula_sum 'Tm6 Al9 Rh3'
_space_group_name_H-M_alt 'R -3 m'
_space_group_IT_number 166
_space_group_name_Hall '-R 3 2"'
_cell_length_a 5.4607
_cell_length_b 5.4607
_cell_length_c 13.0905
_cell_angle_alpha 90.00
_cell_angle_beta 90.00
_cell_angle_gamma 120.00
loop_
_atom_site_label
_atom_site_fract_x
_atom_site_fract_y
_atom_site_fract_z
Tm1 0.0000 0.0000 0.1257
Al1 0.0000 0.5000 0.0000
Rh1 0.0000 0.0000 0.5000
```


Entry 8:
Here is an optimized crystal structure of Tm3Al9Rh2 from Alexandria. Energies are from GGA-PBE.

Properties
N(E_F) = 8.82 states/eV per cell
Formation energy from the elements = -660 meV/atom

```
data_Tm3Al9Rh2
_chemical_formula_sum 'Tm6 Al18 Rh4'
_space_group_name_H-M_alt 'I m m m'
_space_group_IT_number 71
_space_group_name_Hall '-I 2 2'
_cell_length_a 4.298
_cell_length_b 9.647
_cell_length_c 12.201
_cell_angle_alpha 90.00
_cell_angle_beta 90.00
_cell_angle_gamma 90.00
loop_
_atom_site_label
_atom_site_fract_x
_atom_site_fract_y
_atom_site_fract_z
Tm1 0.000 0.000 0.000
Tm2 0.000 0.000 0.295
Al1 0.000 0.284 0.131
Al2 0.000 0.363 0.351
Al3 0.000 0.500 0.000
Rh1 0.000 0.174 0.500
```


Q: Among the records above, which one has the highest N(E_F)?
A: Tm8AlRh2